1.
{
  "formula": "LiAl2Cd",
  "functional": "GGA-PBEsol",
  "state": "optimized geometry",
  "dft_energy_ev_per_atom": -2.90,
  "sg": "I-4m2",
  "lattice": [[-2.086, 2.086, 3.955], [2.086, -2.086, 3.955], [2.086, 2.086, -3.955]],
  "species": ["Li", "Al", "Al", "Cd"],
  "fractional_positions": [[0.000, 0.000, 0.000], [0.250, 0.750, 0.500], [0.500, 0.500, 0.000], [0.750, 0.250, 0.500]]
}

=====

2.
{
  "formula": "AlPPt2",
  "functional": "GGA-PBEsol",
  "state": "optimized geometry",
  "dft_energy_ev_per_atom": -6.48,
  "e_above_lowest_polymorph_mev_per_atom": 0,
  "sg": "I-42d",
  "lattice": [[-1.998, 1.998, 7.872], [1.998, -1.998, 7.872], [1.998, 1.998, -7.872]],
  "species": ["Al", "Al", "P", "P", "Pt", "Pt", "Pt", "Pt"],
  "fractional_positions": [[0.000, 0.000, 0.000], [0.750, 0.250, 0.500], [0.250, 0.750, 0.500], [0.500, 0.500, 0.000], [0.142, 0.625, 0.017], [0.375, 0.392, 0.517], [0.608, 0.125, 0.983], [0.875, 0.858, 0.483]]
}

=====

3.
{
  "formula": "Fe",
  "functional": "GGA-PBEsol",
  "state": "optimized geometry",
  "dft_energy_ev_per_atom": -8.85,
  "e_above_lowest_polymorph_mev_per_atom": 117,
  "sg": "Pm-3n",
  "lattice": [[4.434, 0.000, 0.000], [0.000, 4.434, 0.000], [0.000, 0.000, 4.434]],
  "species": ["Fe", "Fe", "Fe", "Fe", "Fe", "Fe", "Fe", "Fe"],
  "fractional_positions": [[0.000, 0.000, 0.000], [0.000, 0.250, 0.500], [0.000, 0.750, 0.500], [0.250, 0.500, 0.000], [0.500, 0.000, 0.250], [0.500, 0.000, 0.750], [0.500, 0.500, 0.500], [0.750, 0.500, 0.000]]
}

=====

Number 1: DFT formation energy -0.06 eV per atom, Fermi-level density of states 0.3788 states/eV/atom. Number 2: DFT formation energy -0.53 eV per atom, Fermi-level density of states 0.2463 states/eV/atom. Number 3: DFT formation energy 0.12 eV per atom, Fermi-level density of states 1.4293 states/eV/atom.